A plane-wave DFT calculation with PBE was carried out for a geometry-optimized Hg2RhS2 structure.

```
Hg2RhS2
1.0
6.552 0.000 0.000
0.000 6.552 0.000
0.000 0.000 4.727
S Hg Rh
4 4 2
direct
0.193 0.307 0.000
0.807 0.693 0.000
0.693 0.193 0.000
0.307 0.807 0.000
0.342 0.158 0.500
0.842 0.342 0.500
0.658 0.842 0.500
0.158 0.658 0.500
0.000 0.000 0.000
0.500 0.500 0.000
```

Calculated values
The total energy is -30.7 eV/cell. Its formation energy from raw total energies is 0.170 eV/atom. The calculation puts the volume at 101.5 Å³/f.u. The value obtained for the size of the total moment is 0.0 μB per formula unit.

A plane-wave DFT calculation with PBE was carried out for a geometry-optimized CsP3Pt structure.

```
CsP3Pt
1.0
5.305 0.000 0.000
0.000 5.305 0.000
0.000 0.000 5.305
Pt P Cs
1 3 1
direct
0.500 0.500 0.500
0.500 0.000 0.000
0.000 0.000 0.500
0.000 0.500 0.000
0.000 0.000 0.000
```

Calculated values
The total energy is -9.9 eV/cell. The calculation puts the volume at 149.3 Å³/f.u. Its polymorph energy (0 for the lowest one) is 2.092 eV per atom. The value obtained for the size of the total moment is 0.0 μB per formula unit. The calculation puts the formation energy at 2637 meV/atom.

A plane-wave DFT calculation with PBE was carried out for a geometry-optimized SrZr2Tl structure.

```
SrZr2Tl
1.0
6.068 0.015 0.000
-2.562 5.501 0.000
0.000 0.000 3.210
Tl Sr Zr
1 1 2
direct
0.000 0.500 0.500
0.500 0.000 0.500
0.500 0.500 0.000
0.000 0.000 0.000
```

Calculated values
The total energy is -19.5 eV/cell. The calculation puts the volume at 107.3 Å³/f.u. Its polymorph energy (0 for the lowest one) is 0.367 eV per atom. The value obtained for the size of the total moment is 0.0 μB per formula unit. The calculation puts the formation energy at 418 meV/atom.